Entry 1:
# KZrSi2 PBE-GGA optimized geometry
# Fermi-level density of states ... 0.854 states/eV per atom
# Energy above the most stable polymorph in this dataset ... 606.6 meV/atom
# V ... 538 Å³/cell
# Total energy ... -4.714 eV per atom
data_KZrSi2
_symmetry_space_group_name_H-M 'I -4 2 d'
_symmetry_Int_Tables_number 122
_symmetry_space_group_name_Hall 'I -4 2bw'
_cell_length_a 5.491
_cell_length_b 5.491
_cell_length_c 17.831
_cell_angle_alpha 90.00
_cell_angle_beta 90.00
_cell_angle_gamma 90.00
loop_
_atom_site_label
_atom_site_type_symbol
_atom_site_fract_x
_atom_site_fract_y
_atom_site_fract_z
K1 K 0.000 0.000 0.000
Zr1 Zr 0.000 0.000 0.500
Si1 Si 0.001 0.250 0.625

---

Entry 2:
# KZr2Si PBE-GGA optimized geometry
# Fermi-level density of states ... 1.154 states/eV per atom
# V ... 296 Å³/cell
# Total energy ... -5.569 eV per atom
data_KZr2Si
_symmetry_space_group_name_H-M 'R -3 m'
_symmetry_Int_Tables_number 166
_symmetry_space_group_name_Hall '-R 3 2"'
_cell_length_a 3.1578
_cell_length_b 3.1578
_cell_length_c 34.2633
_cell_angle_alpha 90.00
_cell_angle_beta 90.00
_cell_angle_gamma 120.00
loop_
_atom_site_label
_atom_site_type_symbol
_atom_site_fract_x
_atom_site_fract_y
_atom_site_fract_z
K1 K 0.0000 0.0000 0.0000
Zr1 Zr 0.0000 0.0000 0.2317
Si1 Si 0.0000 0.0000 0.5000